Here is a relaxed structure of CdFeIO2 from Alexandria via LeMat-Bulk. Energies are from PBE with a Hubbard U.

Output
The value obtained for the total energy is -19.584 eV per cell. Its density is 5.71 g/cm3.

The structure in extended XYZ format:
```
5
Lattice="3.987 0.000 0.000 0.000 3.987 0.000 0.000 0.000 5.988" Properties=species:S:1:pos:R:3 pbc="T T T"
Fe 0.000 0.000 0.000
I 0.000 0.000 2.994
O 0.000 1.993 0.000
O 1.993 0.000 0.000
Cd 1.993 1.993 2.994
```